# 1
KCoH3C3O6 (GGA+U, optimized geometry); calculated volume = 377 Å³/cell; final energy = -6.3569 eV/atom; total magnetization = 5.9 Bohr magnetons per cell; crystal system = hexagonal
1.0
3.582 -6.204 0.000
3.582 6.204 0.000
0.000 0.000 8.486
H C O Co K
6 6 12 2 2
Cartesian
1.463 -2.533 4.243 H
1.463 2.533 4.243 H
2.120 -3.671 0.000 H
2.925 0.000 0.000 H
4.239 0.000 4.243 H
2.120 3.671 0.000 H
4.030 0.000 0.000 C
3.135 0.000 4.243 C
1.567 -2.715 0.000 C
2.015 3.490 4.243 C
2.015 -3.490 4.243 C
1.567 2.715 0.000 C
4.626 -0.640 0.923 O
4.297 -3.687 0.923 O
5.341 -1.878 3.320 O
2.867 3.687 5.166 O
4.297 3.687 7.563 O
4.626 0.640 7.563 O
5.341 1.878 5.166 O
1.823 1.878 7.563 O
1.823 -1.878 0.923 O
2.538 0.640 5.166 O
2.538 -0.640 3.320 O
2.867 -3.687 3.320 O
3.582 -2.068 2.121 Co
3.582 2.068 6.364 Co
0.000 0.000 2.121 K
0.000 0.000 6.364 K

=====

# 2
Li2CoH8C2O10 (GGA+U, optimized geometry); calculated volume = 404 Å³/cell; final energy = -5.8283 eV/atom; total magnetization = 6.0 Bohr magnetons per cell; crystal system = monoclinic
1.0
-0.056 -5.242 -1.453
5.286 -1.278 -0.108
1.343 -6.185 12.890
O Li Co C H
20 4 2 4 16
Cartesian
6.290 -9.954 9.574 O
5.966 -8.049 8.380 O
0.607 -4.655 2.949 O
3.989 -8.071 2.719 O
1.428 -4.574 6.052 O
0.515 -4.763 0.738 O
3.886 -5.813 10.050 O
6.058 -7.941 10.591 O
1.876 -7.453 3.262 O
3.220 -3.204 0.550 O
2.676 -7.199 6.688 O
3.353 -9.500 10.779 O
0.283 -2.750 1.755 O
4.697 -5.251 8.067 O
3.897 -5.506 4.640 O
2.687 -6.891 1.278 O
2.584 -4.633 8.610 O
3.926 -5.444 -1.307 O
2.647 -7.260 12.635 O
5.145 -8.130 5.276 O
1.929 -6.286 5.006 Li
4.644 -6.418 6.323 Li
2.145 -4.681 -0.582 Li
4.428 -8.023 11.911 Li
0.557 -6.582 1.839 Co
6.016 -6.122 9.490 Co
6.100 -8.669 9.497 C
2.877 -7.471 2.409 C
3.696 -5.233 8.919 C
0.473 -4.035 1.832 C
4.641 -8.164 4.427 H
0.887 -1.725 0.363 H
5.686 -10.979 10.966 H
2.754 -8.182 6.771 H
1.592 -3.709 5.590 H
3.820 -4.522 4.557 H
4.982 -8.995 5.738 H
2.493 -9.097 10.499 H
2.982 -2.648 1.342 H
3.591 -10.057 9.986 H
1.957 -7.029 11.958 H
4.616 -5.675 -0.630 H
4.080 -3.608 0.829 H
1.932 -4.540 6.902 H
1.973 -6.986 7.364 H
4.600 -5.718 3.964 H

=====

# 3
Li2CoH8C2O10 (GGA+U, optimized geometry); calculated volume = 407 Å³/cell; final energy = -5.7717 eV/atom; total magnetization = 1.9 Bohr magnetons per cell; crystal system = monoclinic
1.0
-5.757 0.776 -1.006
-0.993 -5.806 1.209
-1.882 0.861 11.434
O H C Li Co
20 16 4 4 2
Cartesian
-5.801 -3.016 4.872 O
-7.174 -2.598 11.066 O
-5.827 -4.695 2.011 O
-1.458 -1.571 0.571 O
-4.556 -3.167 10.506 O
-4.076 -1.003 1.132 O
-5.045 -0.219 4.865 O
-1.622 -0.896 4.446 O
-4.868 -4.764 8.945 O
-2.831 -1.154 6.766 O
-3.587 -3.950 6.772 O
-7.403 -1.581 8.630 O
-2.962 -2.726 4.409 O
-5.670 -1.443 7.229 O
-6.215 0.314 9.990 O
-3.764 0.595 2.692 O
-2.417 -4.483 1.648 O
-2.805 0.526 9.627 O
-1.229 -2.589 3.008 O
-7.010 -3.273 7.192 O
-5.452 -3.843 4.409 H
-2.042 -3.753 2.238 H
-7.402 -2.251 10.156 H
-3.180 -0.326 7.229 H
-6.257 -2.960 10.905 H
-1.231 -1.918 1.482 H
-2.543 -4.109 0.720 H
-6.590 -0.417 9.400 H
-4.446 0.017 4.099 H
-5.916 -0.339 4.392 H
-6.320 -3.302 5.687 H
-6.090 -0.060 10.917 H
-4.186 -4.186 7.539 H
-2.312 -0.867 5.951 H
-2.375 -1.210 0.732 H
-2.716 -3.830 7.246 H
-4.228 0.228 1.535 C
-6.691 -2.107 7.677 C
-4.404 -4.397 10.103 C
-1.942 -2.063 3.960 C
-3.362 -1.494 10.063 Li
-3.121 -4.800 4.915 Li
-5.511 0.630 6.723 Li
-5.271 -2.675 1.575 Li
0.000 0.000 0.000 Co
-4.316 -2.085 5.819 Co

=====

# 4
LiCoH8C2O10 (GGA+U, optimized geometry); calculated volume = 489 Å³/cell; final energy = -5.8312 eV/atom; total magnetization = 8.0 Bohr magnetons per cell; crystal system = monoclinic
1.0
5.195 -0.297 -0.127
0.814 5.140 -0.127
1.900 1.531 18.052
H Co Li O C
16 2 2 20 4
Cartesian
3.291 2.459 1.951 H
2.714 2.746 11.176 H
4.052 3.459 10.977 H
4.710 3.655 6.760 H
5.522 4.591 15.786 H
4.994 4.265 8.194 H
1.720 1.248 7.385 H
2.311 1.303 2.150 H
5.481 0.795 8.876 H
5.696 3.341 1.007 H
6.264 2.286 7.824 H
2.535 2.181 16.411 H
6.178 4.739 17.220 H
4.515 6.401 16.850 H
2.891 5.952 17.902 H
5.424 5.622 10.034 H
2.043 4.180 4.323 Co
5.468 1.874 13.349 Co
3.917 3.682 17.824 Li
3.481 2.280 8.798 Li
1.641 1.809 8.206 O
2.215 2.530 5.315 O
1.442 0.985 3.818 O
5.272 4.148 4.777 O
5.300 4.741 16.732 O
3.656 3.724 3.221 O
5.849 3.552 2.742 O
2.219 1.965 12.845 O
3.066 1.984 17.232 O
5.365 5.711 9.044 O
5.663 5.727 11.768 O
2.671 5.529 5.766 O
5.771 3.263 0.018 O
3.237 3.208 10.483 O
5.365 3.547 12.248 O
4.809 3.407 7.705 O
6.920 2.201 14.792 O
6.123 5.035 13.803 O
2.872 1.716 1.457 O
3.892 2.393 14.341 O
2.650 2.290 14.024 C
4.886 3.809 3.585 C
1.851 1.338 4.997 C
5.710 4.731 12.611 C